Entry from the Open Quantum Materials Database: Nd2Sn2PdPt3 after structural relaxation (GGA-PBE).

Cell and atoms, written as POSCAR:
```
Nd2Sn2PdPt3
1.0
4.620 0.000 0.000
-2.310 4.001 0.000
0.000 0.000 9.329
Nd Sn Pd Pt
2 2 1 3
direct
0.000 0.000 0.000
0.333 0.667 0.503
0.667 0.333 0.247
0.667 0.333 0.750
0.000 0.000 0.336
0.000 0.000 0.662
0.333 0.667 0.168
0.333 0.667 0.838
```

Values from the calculation:
* M_tot: 0.01 Bohr magnetons per cell
* E: -48.27 eV/cell
* symmetry: P3m1, No. 156